A relaxed NaSn4S8 crystal. Source: Alexandria via LeMat-Bulk, functional PBE-GGA.

Properties
Its raw formation energy is -46.49 kJ per mole of atoms. The calculation puts the density of states at the Fermi level at 7.03 states/eV/cell. The calculation puts the calculated total energy at -4.35 eV/atom. The spin magnetization is 0.0 μB/cell.

Cell: 12.9415 7.4737 9.5667 Å, 90.00 131.67 90.00°
Space group C2/m (No. 12)
Unique sites:
Na 0.0000 0.0000 0.0000
Sn 0.0000 0.2542 0.5000
Sn 0.2410 0.5000 0.4847
S 0.0110 0.0000 0.7001
S 0.0228 0.5000 0.7140
S 0.2288 0.2434 0.2905



A relaxed BeCl3 crystal. Source: Alexandria via LeMat-Bulk, functional PBE-GGA.

Properties
Its raw formation energy is -48.80 kJ per mole of atoms. The calculation puts the density of states at the Fermi level at 3.36 states/eV/cell. The calculation puts the calculated total energy at -2.82 eV/atom. The spin magnetization is 0.0 μB/cell.

Cell: 4.4892 4.4892 4.4892 Å, 90.00 90.00 90.00°
Space group Pm-3m (No. 221)
Unique sites:
Be 0.0000 0.0000 0.0000
Cl 0.0000 0.0000 0.5000



A relaxed LiMg2BeBr crystal. Source: Alexandria via LeMat-Bulk, functional PBE-GGA.

Properties
Its raw formation energy is 63.22 kJ per mole of atoms. The calculation puts the density of states at the Fermi level at 2.12 states/eV/cell. The calculation puts the calculated total energy at -1.45 eV/atom. The spin magnetization is 0.0 μB/cell.

Cell: 5.4552 5.4552 4.5209 Å, 90.00 90.00 90.00°
Space group P4/mmm (No. 123)
Unique sites:
Li 0.0000 0.0000 0.0000
Mg 0.0000 0.5000 0.5000
Be 0.5000 0.5000 0.0000
Br 0.5000 0.5000 0.5000



Q: Among the records above, which one has the lowest calculated total energy?
A: NaSn4S8